1.
{
  "formula": "AcAl4Pt2",
  "functional": "GGA-PBE",
  "state": "optimized geometry",
  "cell": [[-4.021, 0.813, -1.243], [0.262, -5.686, -4.567], [-6.031, -10.458, 12.674]],
  "species": ["Pt", "Pt", "Pt", "Al", "Al", "Al", "Al", "Al", "Al", "Ac", "Al", "Pt", "Al", "Al", "Ac", "Al", "Pt", "Pt", "Al", "Pt", "Ac", "Al", "Al", "Al", "Al", "Pt", "Ac", "Al"],
  "frac_coords": [[0.250, 0.957, 0.765], [0.750, 0.330, 0.462], [0.750, 0.170, 0.962], [0.250, 0.229, 0.204], [0.750, 0.771, 0.796], [0.250, 0.271, 0.704], [0.750, 0.153, 0.810], [0.750, 0.347, 0.310], [0.250, 0.297, 0.543], [0.250, 0.486, 0.886], [0.750, 0.703, 0.457], [0.750, 0.457, 0.735], [0.750, 0.797, 0.957], [0.250, 0.653, 0.690], [0.750, 0.986, 0.614], [0.250, 0.494, 0.405], [0.250, 0.670, 0.538], [0.750, 0.043, 0.235], [0.750, 0.994, 0.095], [0.250, 0.830, 0.038], [0.750, 0.514, 0.114], [0.250, 0.203, 0.043], [0.250, 0.006, 0.905], [0.750, 0.506, 0.595], [0.750, 0.729, 0.296], [0.250, 0.543, 0.265], [0.250, 0.014, 0.386], [0.250, 0.847, 0.190]],
  "m_tot_mub_per_atom": 0.000,
  "energy_ev_per_atom": -5.412,
  "e_form_kcal_per_mol_atoms": -22.1
}

---

2.
{
  "formula": "Ac2Al3Pt",
  "functional": "GGA-PBE",
  "state": "optimized geometry",
  "cell": [[-2.989, -0.623, 3.105], [2.945, -1.117, 5.665], [-2.201, 5.731, 2.085]],
  "species": ["Al", "Al", "Ac", "Ac", "Pt", "Al"],
  "frac_coords": [[0.834, 0.666, 0.667], [0.832, 0.168, 0.168], [0.508, 0.253, 0.731], [0.508, 0.732, 0.253], [0.158, 0.342, 0.342], [0.160, 0.839, 0.840]],
  "m_tot_mub_per_atom": 0.000,
  "energy_ev_per_atom": -4.881,
  "e_form_kcal_per_mol_atoms": -14.6
}

---

3.
{
  "formula": "AcAlPt2",
  "functional": "GGA-PBE",
  "state": "optimized geometry",
  "cell": [[4.374, 0.000, 0.000], [0.000, 5.892, 0.000], [0.000, 0.000, 6.997]],
  "species": ["Ac", "Pt", "Al", "Pt", "Pt", "Al", "Pt", "Ac"],
  "frac_coords": [[0.500, 0.855, 0.000], [0.000, 0.648, 0.299], [0.500, 0.618, 0.500], [0.000, 0.648, 0.701], [0.500, 0.352, 0.799], [0.000, 0.382, 0.000], [0.500, 0.352, 0.201], [0.000, 0.145, 0.500]],
  "m_tot_mub_per_atom": 0.000,
  "energy_ev_per_atom": -6.081,
  "e_form_kcal_per_mol_atoms": -25.3
}